--- a ---
Density functional theory data (PBE) for a geometry-optimized ZrSc2Re structure.

```
data_ZrSc2Re
_chemical_formula_sum 'Zr1 Sc2 Re1'
_symmetry_space_group_name_H-M 'P 1 m 1'
_symmetry_Int_Tables_number 6
_cell_length_a 3.080
_cell_length_b 4.559
_cell_length_c 5.915
_cell_angle_alpha 90.00
_cell_angle_beta 103.33
_cell_angle_gamma 90.00
loop_
_symmetry_equiv_pos_as_xyz
'x,y,z'
'x,-y,z'
loop_
_atom_site_label
_atom_site_fract_x
_atom_site_fract_y
_atom_site_fract_z
Zr1 0.000 0.000 0.000
Sc1 0.322 0.500 0.726
Sc2 0.637 0.000 0.451
Re1 0.829 0.500 0.218
```

Density   7.5 Mg/m³
V   20.2 Å³/atom

---

--- b ---
Density functional theory data (PBE) for a geometry-optimized ZrSc2Re structure.

```
data_ZrSc2Re
_chemical_formula_sum 'Zr2 Sc4 Re2'
_symmetry_space_group_name_H-M 'I 4/m m m'
_symmetry_Int_Tables_number 139
_symmetry_space_group_name_Hall '-I 4 2'
_cell_length_a 4.066
_cell_length_b 4.066
_cell_length_c 9.626
_cell_angle_alpha 90.00
_cell_angle_beta 90.00
_cell_angle_gamma 90.00
loop_
_atom_site_label
_atom_site_fract_x
_atom_site_fract_y
_atom_site_fract_z
Zr1 0.000 0.000 0.000
Sc1 0.000 0.500 0.250
Re1 0.000 0.000 0.500
```

Density   7.7 Mg/m³
V   19.9 Å³/atom

---

--- c ---
Density functional theory data (PBE) for a geometry-optimized ZrSc2Re structure.

```
data_ZrSc2Re
_chemical_formula_sum 'Zr4 Sc8 Re4'
_symmetry_space_group_name_H-M 'F m -3 m'
_symmetry_Int_Tables_number 225
_symmetry_space_group_name_Hall '-F 4 2 3'
_cell_length_a 6.797
_cell_length_b 6.797
_cell_length_c 6.797
_cell_angle_alpha 90.00
_cell_angle_beta 90.00
_cell_angle_gamma 90.00
loop_
_atom_site_label
_atom_site_fract_x
_atom_site_fract_y
_atom_site_fract_z
Zr1 0.000 0.000 0.000
Sc1 0.250 0.250 0.250
Re1 0.000 0.000 0.500
```

Density   7.8 Mg/m³
V   19.6 Å³/atom

---

--- d ---
Density functional theory data (PBE) for a geometry-optimized ZrSc2Re structure.

```
data_ZrSc2Re
_chemical_formula_sum 'Zr3 Sc6 Re3'
_symmetry_space_group_name_H-M 'R 3 m'
_symmetry_Int_Tables_number 160
_symmetry_space_group_name_Hall 'R 3 -2"'
_cell_length_a 3.1992
_cell_length_b 3.1992
_cell_length_c 28.8324
_cell_angle_alpha 90.00
_cell_angle_beta 90.00
_cell_angle_gamma 120.00
loop_
_atom_site_label
_atom_site_fract_x
_atom_site_fract_y
_atom_site_fract_z
Zr1 0.0000 0.0000 0.0000
Sc1 0.0000 0.0000 0.5254
Sc2 0.0000 0.0000 0.7582
Re1 0.0000 0.0000 0.2623
```

Density   7.2 Mg/m³
V   21.3 Å³/atom

---

Least stable: c

---

--- a ---
Density functional theory data (PBE) for a geometry-optimized ZrSc2Re structure.

```
data_ZrSc2Re
_chemical_formula_sum 'Zr2 Sc4 Re2'
_symmetry_space_group_name_H-M 'C m m m'
_symmetry_Int_Tables_number 65
_symmetry_space_group_name_Hall '-C 2 2'
_cell_length_a 3.285
_cell_length_b 5.020
_cell_length_c 9.855
_cell_angle_alpha 90.00
_cell_angle_beta 90.00
_cell_angle_gamma 90.00
loop_
_atom_site_label
_atom_site_fract_x
_atom_site_fract_y
_atom_site_fract_z
Zr1 0.000 0.000 0.000
Sc1 0.000 0.500 0.287
Re1 0.000 0.000 0.500
```

Density   7.5 Mg/m³
V   20.3 Å³/atom

---

--- b ---
Density functional theory data (PBE) for a geometry-optimized ZrSc2Re structure.

```
data_ZrSc2Re
_chemical_formula_sum 'Zr1 Sc2 Re1'
_symmetry_space_group_name_H-M 'P 4/m m m'
_symmetry_Int_Tables_number 123
_symmetry_space_group_name_Hall '-P 4 2'
_cell_length_a 3.233
_cell_length_b 3.233
_cell_length_c 7.907
_cell_angle_alpha 90.00
_cell_angle_beta 90.00
_cell_angle_gamma 90.00
loop_
_atom_site_label
_atom_site_fract_x
_atom_site_fract_y
_atom_site_fract_z
Zr1 0.000 0.000 0.000
Sc1 0.500 0.500 0.300
Re1 0.000 0.000 0.500
```

Density   7.4 Mg/m³
V   20.7 Å³/atom

---

Least stable: a

---

--- a ---
Density functional theory data (PBE) for a geometry-optimized ZrSc2Re structure.

```
data_ZrSc2Re
_chemical_formula_sum 'Zr2 Sc4 Re2'
_symmetry_space_group_name_H-M 'C m m m'
_symmetry_Int_Tables_number 65
_symmetry_space_group_name_Hall '-C 2 2'
_cell_length_a 5.735
_cell_length_b 9.531
_cell_length_c 2.888
_cell_angle_alpha 90.00
_cell_angle_beta 90.00
_cell_angle_gamma 90.00
loop_
_atom_site_label
_atom_site_fract_x
_atom_site_fract_y
_atom_site_fract_z
Zr1 0.000 0.000 0.000
Sc1 0.250 0.250 0.500
Re1 0.000 0.500 0.000
```

Density   7.7 Mg/m³
V   19.7 Å³/atom

---

--- b ---
Density functional theory data (PBE) for a geometry-optimized ZrSc2Re structure.

```
data_ZrSc2Re
_chemical_formula_sum 'Zr2 Sc4 Re2'
_symmetry_space_group_name_H-M 'I m m 2'
_symmetry_Int_Tables_number 44
_cell_length_a 3.431
_cell_length_b 4.936
_cell_length_c 9.804
_cell_angle_alpha 90.00
_cell_angle_beta 90.00
_cell_angle_gamma 90.00
loop_
_symmetry_equiv_pos_as_xyz
'x,y,z'
'-x,-y,z'
'-x,y,z'
'x,-y,z'
'x+1/2,y+1/2,z+1/2'
'-x+1/2,-y+1/2,z+1/2'
'-x+1/2,y+1/2,z+1/2'
'x+1/2,-y+1/2,z+1/2'
loop_
_atom_site_label
_atom_site_fract_x
_atom_site_fract_y
_atom_site_fract_z
Zr1 0.000 0.000 0.000
Sc1 0.000 0.000 0.423
Sc2 0.000 0.500 0.212
Re1 0.000 0.500 0.705
```

Density   7.3 Mg/m³
V   20.8 Å³/atom

---

Least stable: a

---

--- a ---
Density functional theory data (PBE) for a geometry-optimized Zr2Sc2Re structure.

```
data_Zr2Sc2Re
_chemical_formula_sum 'Zr4 Sc4 Re2'
_symmetry_space_group_name_H-M 'I 4/m m m'
_symmetry_Int_Tables_number 139
_symmetry_space_group_name_Hall '-I 4 2'
_cell_length_a 3.744
_cell_length_b 3.744
_cell_length_c 16.192
_cell_angle_alpha 90.00
_cell_angle_beta 90.00
_cell_angle_gamma 90.00
loop_
_atom_site_label
_atom_site_fract_x
_atom_site_fract_y
_atom_site_fract_z
Zr1 0.000 0.500 0.250
Sc1 0.000 0.000 0.084
Re1 0.000 0.000 0.500
```

Density   6.7 Mg/m³
V   22.7 Å³/atom

---

--- b ---
Density functional theory data (PBE) for a geometry-optimized Zr2Sc2Re structure.

```
data_Zr2Sc2Re
_chemical_formula_sum 'Zr4 Sc4 Re2'
_symmetry_space_group_name_H-M 'P 4/m b m'
_symmetry_Int_Tables_number 127
_symmetry_space_group_name_Hall '-P 4 2ab'
_cell_length_a 6.628
_cell_length_b 6.628
_cell_length_c 4.960
_cell_angle_alpha 90.00
_cell_angle_beta 90.00
_cell_angle_gamma 90.00
loop_
_atom_site_label
_atom_site_fract_x
_atom_site_fract_y
_atom_site_fract_z
Zr1 0.169 0.331 0.000
Sc1 0.148 0.648 0.500
Re1 0.000 0.000 0.500
```

Density   7.0 Mg/m³
V   21.8 Å³/atom

---

Least stable: a

---

--- a ---
Density functional theory data (PBE) for a geometry-optimized Zr3ScRe structure.

```
data_Zr3ScRe
_chemical_formula_sum 'Zr3 Sc1 Re1'
_symmetry_space_group_name_H-M 'P m -3 m'
_symmetry_Int_Tables_number 221
_symmetry_space_group_name_Hall '-P 4 2 3'
_cell_length_a 4.832
_cell_length_b 4.832
_cell_length_c 4.832
_cell_angle_alpha 90.00
_cell_angle_beta 90.00
_cell_angle_gamma 90.00
loop_
_atom_site_label
_atom_site_fract_x
_atom_site_fract_y
_atom_site_fract_z
Zr1 0.000 0.000 0.500
Sc1 0.000 0.000 0.000
Re1 0.500 0.500 0.500
```

Density   7.4 Mg/m³
V   22.6 Å³/atom

---

--- b ---
Density functional theory data (PBE) for a geometry-optimized Zr3ScRe structure.

```
data_Zr3ScRe
_chemical_formula_sum 'Zr3 Sc1 Re1'
_symmetry_space_group_name_H-M 'P m -3 m'
_symmetry_Int_Tables_number 221
_symmetry_space_group_name_Hall '-P 4 2 3'
_cell_length_a 5.092
_cell_length_b 5.092
_cell_length_c 5.092
_cell_angle_alpha 90.00
_cell_angle_beta 90.00
_cell_angle_gamma 90.00
loop_
_atom_site_label
_atom_site_fract_x
_atom_site_fract_y
_atom_site_fract_z
Zr1 0.000 0.000 0.500
Sc1 0.500 0.500 0.500
Re1 0.000 0.000 0.000
```

Density   6.3 Mg/m³
V   26.4 Å³/atom

---

Least stable: a

---

--- a ---
Density functional theory data (PBE) for a geometry-optimized ReSe structure.

```
data_ReSe
_chemical_formula_sum 'Re4 Se4'
_symmetry_space_group_name_H-M 'I 41/a m d'
_symmetry_Int_Tables_number 141
_cell_length_a 4.123
_cell_length_b 4.123
_cell_length_c 7.618
_cell_angle_alpha 90.00
_cell_angle_beta 90.00
_cell_angle_gamma 90.00
loop_
_symmetry_equiv_pos_as_xyz
'x,y,z'
'-x,-y,-z'
'-y+1/4,x+3/4,z+1/4'
'y+1/4,-x+3/4,-z+1/4'
'-x+1/2,-y,z+1/2'
'x+1/2,y,-z+1/2'
'y+1/4,-x+1/4,z+3/4'
'-y+1/4,x+1/4,-z+3/4'
'x,-y,-z'
'-x,y,z'
'-y+1/4,-x+1/4,-z+3/4'
'y+1/4,x+1/4,z+3/4'
'-x+1/2,y,-z+1/2'
'x+1/2,-y,z+1/2'
'y+1/4,x+3/4,-z+1/4'
'-y+1/4,-x+3/4,z+1/4'
'x+1/2,y+1/2,z+1/2'
'-x+1/2,-y+1/2,-z+1/2'
'-y+3/4,x+1/4,z+3/4'
'y+3/4,-x+1/4,-z+3/4'
'-x,-y+1/2,z'
'x,y+1/2,-z'
'y+3/4,-x+3/4,z+1/4'
'-y+3/4,x+3/4,-z+1/4'
'x+1/2,-y+1/2,-z+1/2'
'-x+1/2,y+1/2,z+1/2'
'-y+3/4,-x+3/4,-z+1/4'
'y+3/4,x+3/4,z+1/4'
'-x,y+1/2,-z'
'x,-y+1/2,z'
'y+3/4,x+1/4,-z+3/4'
'-y+3/4,-x+1/4,z+3/4'
loop_
_atom_site_label
_atom_site_fract_x
_atom_site_fract_y
_atom_site_fract_z
Re1 0.000 0.250 0.375
Se1 0.000 0.250 0.875
```

Density   13.6 Mg/m³
V   16.2 Å³/atom

---

--- b ---
Density functional theory data (PBE) for a geometry-optimized ReSe structure.

```
data_ReSe
_chemical_formula_sum 'Re4 Se4'
_symmetry_space_group_name_H-M 'P 42/m n m'
_symmetry_Int_Tables_number 136
_symmetry_space_group_name_Hall '-P 4n 2n'
_cell_length_a 7.568
_cell_length_b 7.568
_cell_length_c 3.016
_cell_angle_alpha 90.00
_cell_angle_beta 90.00
_cell_angle_gamma 90.00
loop_
_atom_site_label
_atom_site_fract_x
_atom_site_fract_y
_atom_site_fract_z
Re1 0.131 0.131 0.000
Se1 0.188 0.812 0.000
```

Density   10.2 Mg/m³
V   21.6 Å³/atom

---

Least stable: a

---

--- a ---
Density functional theory data (PBE) for a geometry-optimized Re4Se structure.

```
data_Re4Se
_chemical_formula_sum 'Re8 Se2'
_symmetry_space_group_name_H-M 'I 4/m'
_symmetry_Int_Tables_number 87
_symmetry_space_group_name_Hall '-I 4'
_cell_length_a 6.234
_cell_length_b 6.234
_cell_length_c 3.971
_cell_angle_alpha 90.00
_cell_angle_beta 90.00
_cell_angle_gamma 90.00
loop_
_atom_site_label
_atom_site_fract_x
_atom_site_fract_y
_atom_site_fract_z
Re1 0.075 0.300 0.000
Se1 0.000 0.000 0.500
```

Density   17.7 Mg/m³
V   15.4 Å³/atom

---

--- b ---
Density functional theory data (PBE) for a geometry-optimized Re4Se structure.

```
data_Re4Se
_chemical_formula_sum 'Re8 Se2'
_symmetry_space_group_name_H-M 'I m -3 m'
_symmetry_Int_Tables_number 229
_symmetry_space_group_name_Hall '-I 4 2 3'
_cell_length_a 5.606
_cell_length_b 5.606
_cell_length_c 5.606
_cell_angle_alpha 90.00
_cell_angle_beta 90.00
_cell_angle_gamma 90.00
loop_
_atom_site_label
_atom_site_fract_x
_atom_site_fract_y
_atom_site_fract_z
Re1 0.250 0.250 0.250
Se1 0.000 0.000 0.000
```

Density   15.5 Mg/m³
V   17.6 Å³/atom

---

Least stable: b

---

--- a ---
Density functional theory data (PBE) for a geometry-optimized Re4Se structure.

```
data_Re4Se
_chemical_formula_sum 'Re8 Se2'
_symmetry_space_group_name_H-M 'I 4/m m m'
_symmetry_Int_Tables_number 139
_symmetry_space_group_name_Hall '-I 4 2'
_cell_length_a 3.963
_cell_length_b 3.963
_cell_length_c 11.789
_cell_angle_alpha 90.00
_cell_angle_beta 90.00
_cell_angle_gamma 90.00
loop_
_atom_site_label
_atom_site_fract_x
_atom_site_fract_y
_atom_site_fract_z
Re1 0.000 0.000 0.117
Re2 0.000 0.500 0.250
Se1 0.000 0.000 0.500
```

Density   14.8 Mg/m³
V   18.5 Å³/atom

---

--- b ---
Density functional theory data (PBE) for a geometry-optimized Re4Se structure.

```
data_Re4Se
_chemical_formula_sum 'Re4 Se1'
_symmetry_space_group_name_H-M 'P m -3 m'
_symmetry_Int_Tables_number 221
_symmetry_space_group_name_Hall '-P 4 2 3'
_cell_length_a 4.471
_cell_length_b 4.471
_cell_length_c 4.471
_cell_angle_alpha 90.00
_cell_angle_beta 90.00
_cell_angle_gamma 90.00
loop_
_atom_site_label
_atom_site_fract_x
_atom_site_fract_y
_atom_site_fract_z
Re1 0.000 0.000 0.000
Re2 0.000 0.500 0.500
Se1 0.500 0.500 0.500
```

Density   15.3 Mg/m³
V   17.9 Å³/atom

---

Least stable: b